[1]
Here is a relaxed BeAlCl2 crystal from Alexandria. Energies are from PBEsol.

The calculation puts the formation energy without anion corrections at -0.3703 eV/atom. The total energy is -3.40 eV/atom. The value obtained for the distance to the lowest polymorph of the same formula is 0 meV/atom.

The structure belongs to space group P2/m (No. 10); the cell edges are 3.2597, 2.9853 and 8.7938 Å and the angles 90.00°, 91.65° and 90.00°. The distinct sites, in fractional coordinates, are Be at (0.0000, 0.0000, 0.0000), Al at (0.0000, 0.0000, 0.5000) and Cl at (0.1439, 0.5000, 0.8448).

***

[2]
Here is a relaxed CaLa3Fe crystal from Alexandria. Energies are from PBEsol.

The total energy is -5.37 eV/atom. As for the calculated formation energy: 0.058 eV/atom.

The structure belongs to space group Pm-3m (No. 221); the cell edges are 5.3914, 5.3914 and 5.3914 Å and the angles 90.00°, 90.00° and 90.00°. The distinct sites, in fractional coordinates, are Ca at (0.0000, 0.0000, 0.0000), La at (0.0000, 0.5000, 0.5000) and Fe at (0.5000, 0.5000, 0.5000).

***

[3]
Here is a relaxed La2Ru crystal from Alexandria. Energies are from PBEsol.

The total energy is -7.10 eV/atom. As for the calculated formation energy: -0.149 eV/atom.

The structure belongs to space group Pa-3 (No. 205); the cell edges are 6.9772, 6.9772 and 6.9772 Å and the angles 90.00°, 90.00° and 90.00°. The distinct sites, in fractional coordinates, are La at (0.1661, 0.1661, 0.1661) and Ru at (0.0000, 0.0000, 0.5000).

***

[4]
Here is a relaxed Sc2BeNi crystal from Alexandria. Energies are from PBEsol.

The total energy is -6.02 eV/atom. As for the calculated formation energy: -0.180 eV/atom.

The structure belongs to space group R3m (No. 160, hexagonal axes); the cell edges are 3.7904, 3.7904 and 16.6453 Å and the angles 90.00°, 90.00° and 120.00°. The distinct sites, in fractional coordinates, are Sc at (0.0000, 0.0000, 0.0000), Sc at (0.0000, 0.0000, 0.1821), Be at (0.0000, 0.0000, 0.7594) and Ni at (0.0000, 0.0000, 0.4223).

***

[5]
Here is a relaxed LiBS2N crystal from Alexandria. Energies are from PBEsol.

The calculation puts the formation energy without anion corrections at -0.0651 eV/atom. The total energy is -5.32 eV/atom.

The structure belongs to space group P4/mmm (No. 123); the cell edges are 5.0154, 5.0154 and 2.6632 Å and the angles 90.00°, 90.00° and 90.00°. The distinct sites, in fractional coordinates, are Li at (0.0000, 0.0000, 0.0000), B at (0.5000, 0.5000, 0.5000), S at (0.0000, 0.5000, 0.5000) and N at (0.5000, 0.5000, 0.0000).

***

[6]
Here is a relaxed Ce6In5Pd12 crystal from Alexandria. Energies are from PBEsol.

The total energy is -6.18 eV/atom. As for the calculated formation energy: -0.698 eV/atom.

The structure belongs to space group P6_3/mcm (No. 193); the cell edges are 8.0637, 8.0637 and 16.0415 Å and the angles 90.00°, 90.00° and 120.00°. The distinct sites, in fractional coordinates, are Ce at (0.0000, 0.2757, 0.1222), In at (0.0000, 0.3677, 0.7500), In at (0.3333, 0.6667, 0.0000), Pd at (0.0000, 0.0000, 0.0000), Pd at (0.0000, 0.0000, 0.2500), Pd at (0.0000, 0.3819, 0.5720) and Pd at (0.3333, 0.6667, 0.1668).